No. 1
# CaZn2Tc, relaxed, DFT PBE
data_CaZn2Tc
_cell_length_a 4.473
_cell_length_b 4.473
_cell_length_c 17.914
_cell_angle_alpha 90.00
_cell_angle_beta 90.00
_cell_angle_gamma 90.00
_space_group_name_H-M_alt 'P 1'
_space_group_IT_number 1
loop_
_space_group_symop_operation_xyz
'x,y,z'
loop_
_atom_site_label
_atom_site_type_symbol
_atom_site_fract_x
_atom_site_fract_y
_atom_site_fract_z
Ca1 Ca 0.000 0.000 0.000
Ca2 Ca 0.000 0.500 0.250
Ca3 Ca 0.500 0.000 0.750
Ca4 Ca 0.500 0.500 0.500
Zn1 Zn 0.118 0.250 0.625
Zn2 Zn 0.250 0.618 0.875
Zn3 Zn 0.250 0.882 0.375
Zn4 Zn 0.382 0.250 0.125
Zn5 Zn 0.618 0.750 0.125
Zn6 Zn 0.750 0.118 0.375
Zn7 Zn 0.750 0.382 0.875
Zn8 Zn 0.882 0.750 0.625
Tc1 Tc 0.000 0.000 0.500
Tc2 Tc 0.000 0.500 0.750
Tc3 Tc 0.500 0.000 0.250
Tc4 Tc 0.500 0.500 0.000
# * energy relative to the elements: 2.00 eV per formula unit
# * E_tot: -51.7 eV per cell
# * relative energy among the computed polymorphs: 1.64 eV per formula unit

---

No. 2
# CaZn2Tc, relaxed, DFT PBE
data_CaZn2Tc
_cell_length_a 6.564
_cell_length_b 6.564
_cell_length_c 6.564
_cell_angle_alpha 90.00
_cell_angle_beta 90.00
_cell_angle_gamma 90.00
_space_group_name_H-M_alt 'P 1'
_space_group_IT_number 1
loop_
_space_group_symop_operation_xyz
'x,y,z'
loop_
_atom_site_label
_atom_site_type_symbol
_atom_site_fract_x
_atom_site_fract_y
_atom_site_fract_z
Ca1 Ca 0.000 0.000 0.000
Ca2 Ca 0.000 0.500 0.500
Ca3 Ca 0.500 0.000 0.500
Ca4 Ca 0.500 0.500 0.000
Zn1 Zn 0.000 0.000 0.500
Zn2 Zn 0.000 0.500 0.000
Zn3 Zn 0.250 0.250 0.250
Zn4 Zn 0.250 0.750 0.750
Zn5 Zn 0.500 0.000 0.000
Zn6 Zn 0.500 0.500 0.500
Zn7 Zn 0.750 0.250 0.750
Zn8 Zn 0.750 0.750 0.250
Tc1 Tc 0.250 0.250 0.750
Tc2 Tc 0.250 0.750 0.250
Tc3 Tc 0.750 0.250 0.250
Tc4 Tc 0.750 0.750 0.750
# * energy relative to the elements: 1.77 eV per formula unit
# * E_tot: -52.6 eV per cell
# * relative energy among the computed polymorphs: 1.42 eV per formula unit

---

> Number 1 is which compound?

CaZn2Tc

---

> Look up the energy relative to the elements of the first one.

2.00 eV per formula unit

---

> Which of these has the lowest relative energy among the computed polymorphs?

number 2

---

> Which value of E_tot does entry 1 give?

-51.7 eV per cell